(w)
Below is a relaxed structure of Ba2NiMo, with properties calculated at the PBE-GGA level.

a = 8.6970 Å, b = 8.6970 Å, c = 8.6970 Å
α = 94.04°, β = 94.04°, γ = 149.21°
Element x y z (fractional)
Ba 0.3750 0.1987 0.3237
Ba 0.8013 0.1250 0.1763
Ba 0.8750 0.0513 0.6763
Ba 0.9487 0.6250 0.8237
Ni 0.0000 0.0000 0.0000
Ni 0.7500 0.2500 0.5000
Mo 0.2500 0.7500 0.5000
Mo 0.5000 0.5000 0.0000

Properties
DOS at the Fermi energy = 0.900 states/eV per atom

=====

(x)
Below is a relaxed structure of Ba2NiMo, with properties calculated at the PBE-GGA level.

a = 3.8287 Å, b = 4.7676 Å, c = 5.6986 Å
α = 90.00°, β = 90.00°, γ = 90.00°
Element x y z (fractional)
Ba 0.0000 0.0000 0.0000
Ba 0.5000 0.0000 0.5000
Ni 0.0000 0.5000 0.5000
Mo 0.5000 0.5000 0.0000

Properties
DOS at the Fermi energy = 0.857 states/eV per atom

=====

(y)
Below is a relaxed structure of Ba2NiMo, with properties calculated at the PBE-GGA level.

a = 3.5096 Å, b = 3.5096 Å, c = 9.6417 Å
α = 90.00°, β = 90.00°, γ = 90.00°
Element x y z (fractional)
Ba 0.0000 0.0000 0.0000
Ba 0.5000 0.5000 0.4187
Ni 0.5000 0.5000 0.7517
Mo 0.0000 0.0000 0.6863

Properties
DOS at the Fermi energy = 1.732 states/eV per atom

=====

Tell me which of them is the most stable. Sure, it is (y).

=====

(w)
Below is a relaxed structure of Ba2NiMo, with properties calculated at the PBE-GGA level.

a = 7.0147 Å, b = 7.0147 Å, c = 7.0147 Å
α = 148.43°, β = 136.09°, γ = 55.08°
Element x y z (fractional)
Ba 0.0000 0.0000 0.0000
Ba 0.7206 0.2206 0.5000
Ni 0.4139 0.4139 0.0000
Mo 0.3091 0.8091 0.5000

Properties
DOS at the Fermi energy = 0.905 states/eV per atom

=====

(x)
Below is a relaxed structure of Ba2NiMo, with properties calculated at the PBE-GGA level.

a = 5.4193 Å, b = 5.4193 Å, c = 5.4193 Å
α = 60.00°, β = 60.00°, γ = 60.00°
Element x y z (fractional)
Ba 0.0000 0.0000 0.0000
Ba 0.2500 0.2500 0.2500
Ni 0.5000 0.5000 0.5000
Mo 0.7500 0.7500 0.7500

Properties
DOS at the Fermi energy = 0.882 states/eV per atom

=====

Tell me which of them is the most stable. Sure, it is (w).

=====

(w)
Below is a relaxed structure of Ba2NiMo, with properties calculated at the PBE-GGA level.

a = 3.9971 Å, b = 3.9971 Å, c = 9.3863 Å
α = 100.78°, β = 100.78°, γ = 57.41°
Element x y z (fractional)
Ba 0.2410 0.2410 0.2217
Ba 0.7590 0.7590 0.7783
Ni 0.5000 0.5000 0.0000
Mo 0.0000 0.0000 0.5000

Properties
DOS at the Fermi energy = 0.848 states/eV per atom

=====

(x)
Below is a relaxed structure of Ba2NiMo, with properties calculated at the PBE-GGA level.

a = 4.1632 Å, b = 6.4493 Å, c = 6.4493 Å
α = 46.28°, β = 90.00°, γ = 90.00°
Element x y z (fractional)
Ba 0.0000 0.0000 0.0000
Ba 0.5000 0.2898 0.2898
Ni 0.5000 0.5984 0.5984
Mo 0.0000 0.6873 0.6873

Properties
DOS at the Fermi energy = 1.203 states/eV per atom

=====

Tell me which of them is the most stable. Sure, it is (x).

=====

(w)
Below is a relaxed structure of Ba2NiMo, with properties calculated at the PBE-GGA level.

a = 5.5919 Å, b = 5.5919 Å, c = 5.5919 Å
α = 60.00°, β = 60.00°, γ = 60.00°
Element x y z (fractional)
Ba 0.2500 0.2500 0.2500
Ba 0.7500 0.7500 0.7500
Ni 0.0000 0.0000 0.0000
Mo 0.5000 0.5000 0.5000

Properties
DOS at the Fermi energy = 0.812 states/eV per atom

=====

(x)
Below is a relaxed structure of Ba2NiMo, with properties calculated at the PBE-GGA level.

a = 6.3737 Å, b = 6.3737 Å, c = 6.3737 Å
α = 136.69°, β = 136.69°, γ = 62.91°
Element x y z (fractional)
Ba 0.0000 0.0000 0.0000
Ba 0.7500 0.2500 0.5000
Ni 0.5000 0.5000 0.0000
Mo 0.2500 0.7500 0.5000

Properties
DOS at the Fermi energy = 0.979 states/eV per atom

=====

Tell me which of them is the most stable. Sure, it is (w).

=====

(w)
Below is a relaxed structure of Ba2Ni2Mo, with properties calculated at the PBE-GGA level.

a = 6.7003 Å, b = 6.7003 Å, c = 5.2312 Å
α = 90.00°, β = 90.00°, γ = 90.00°
Element x y z (fractional)
Ba 0.1786 0.3214 0.0000
Ba 0.3214 0.8214 0.0000
Ba 0.6786 0.1786 0.0000
Ba 0.8214 0.6786 0.0000
Ni 0.1397 0.6397 0.5000
Ni 0.3603 0.1397 0.5000
Ni 0.6397 0.8603 0.5000
Ni 0.8603 0.3603 0.5000
Mo 0.0000 0.0000 0.5000
Mo 0.5000 0.5000 0.5000

Properties
DOS at the Fermi energy = 1.117 states/eV per atom

=====

(x)
Below is a relaxed structure of Ba2Ni2Mo, with properties calculated at the PBE-GGA level.

a = 5.7044 Å, b = 5.7044 Å, c = 5.7044 Å
α = 113.79°, β = 113.79°, γ = 101.15°
Element x y z (fractional)
Ba 0.2500 0.7500 0.5000
Ba 0.7500 0.2500 0.5000
Ni 0.1661 0.1661 0.0000
Ni 0.8339 0.8339 0.0000
Mo 0.5000 0.5000 0.0000

Properties
DOS at the Fermi energy = 1.210 states/eV per atom

=====

Tell me which of them is the most stable. Sure, it is (w).